Entry 1:
DFT (PBE) results for crystalline LaIrOs2 at its relaxed geometry.

abc: 5.848 5.848 5.848
angles: 151.34 130.63 58.08
Fractional positions:
La1 0.000 0.000 0.000
Ir1 0.722 0.222 0.500
Os1 0.282 0.782 0.500
Os2 0.496 0.496 0.000

Output
total DFT energy (no corrections)	-34.58	eV/f.u.
SG	No. 44
calculated formation energy	416	meV/atom
E above lowest polymorph	224.3	meV per atom



Entry 2:
DFT (PBE) results for crystalline Tb3Pr8Sc2 at its relaxed geometry.

abc: 10.712 10.712 5.759
angles: 90.03 90.03 42.87
Fractional positions:
Tb1 0.000 0.000 0.000
Tb2 0.288 0.712 0.500
Tb3 0.712 0.288 0.500
Pr1 0.132 0.132 0.499
Pr2 0.185 0.594 0.000
Pr3 0.320 0.320 0.499
Pr4 0.406 0.815 0.000
Pr5 0.594 0.185 0.000
Pr6 0.680 0.680 0.501
Pr7 0.815 0.406 0.000
Pr8 0.868 0.868 0.501
Sc1 0.239 0.239 0.999
Sc2 0.761 0.761 0.001

Output
total DFT energy (no corrections)	-62.03	eV/f.u.
SG	No. 12
calculated formation energy	212	meV/atom



Entry 3:
DFT (PBE) results for crystalline CePuThPa at its relaxed geometry.

abc: 5.315 5.315 5.315
angles: 60.00 60.00 60.00
Fractional positions:
Ce1 0.000 0.000 0.000
Pu1 0.500 0.500 0.500
Th1 0.750 0.750 0.750
Pa1 0.250 0.250 0.250

Output
total DFT energy (no corrections)	-36.26	eV/f.u.
SG	No. 216
calculated formation energy	229	meV/atom